# 1
! GGA-PBE La2InCu, optimized geometry; values from VASP
! Space group: Pmmm
! Energy of formation (meV/atom): -314
&SYSTEM
  ibrav = 0, nat = 4, ntyp = 3
/
ATOMIC_SPECIES
La 138.91 La.upf
In 114.82 In.upf
Cu 63.55 Cu.upf
CELL_PARAMETERS angstrom
3.719 0.000 0.000
0.000 3.733 0.000
0.000 0.000 7.970
ATOMIC_POSITIONS angstrom
La 0.000 0.000 1.777
La 0.000 0.000 6.193
In 1.860 1.866 3.985
Cu 1.860 1.866 0.000

# 2
! GGA-PBE TaGaH3, optimized geometry; values from VASP
! Space group: Pm-3m
! E (eV/atom): -4.1712
&SYSTEM
  ibrav = 0, nat = 5, ntyp = 3
/
ATOMIC_SPECIES
Ta 180.95 Ta.upf
Ga 69.72 Ga.upf
H 1.01 H.upf
CELL_PARAMETERS angstrom
3.499 0.000 0.000
0.000 3.499 0.000
0.000 0.000 3.499
ATOMIC_POSITIONS angstrom
Ta 0.000 0.000 0.000
Ga 1.749 1.749 1.749
H 0.000 1.749 1.749
H 1.749 0.000 1.749
H 1.749 1.749 0.000

# 3
! GGA-PBE CeTm2NpN4, optimized geometry; values from VASP
! Energy relative to the elements, uncorrected (eV/atom): -1.528
! Space group: P2/m
&SYSTEM
  ibrav = 0, nat = 8, ntyp = 4
/
ATOMIC_SPECIES
Ce 140.12 Ce.upf
Tm 168.93 Tm.upf
Np 237.00 Np.upf
N 14.01 N.upf
CELL_PARAMETERS angstrom
5.974 0.000 0.000
0.000 3.448 0.000
-1.989 0.000 5.673
ATOMIC_POSITIONS angstrom
Ce 0.000 0.000 0.000
Tm -0.994 1.724 2.837
Tm 1.993 0.000 2.837
Np 2.987 1.724 0.000
N 0.049 0.000 4.243
N 1.047 1.724 1.444
N 2.939 1.724 4.230
N 3.937 0.000 1.430

# 4
! GGA-PBE BaAl2, optimized geometry; values from VASP
! Space group: Fd-3m
! Energy of formation (meV/atom): -195
&SYSTEM
  ibrav = 0, nat = 6, ntyp = 2
/
ATOMIC_SPECIES
Ba 137.33 Ba.upf
Al 26.98 Al.upf
CELL_PARAMETERS angstrom
0.000 4.268 4.268
4.268 0.000 4.268
4.268 4.268 0.000
ATOMIC_POSITIONS angstrom
Ba 1.067 1.067 1.067
Ba 7.469 7.469 7.469
Al 4.268 2.134 2.134
Al 2.134 4.268 2.134
Al 2.134 2.134 4.268
Al 4.268 4.268 4.268

# 5
! GGA-PBE YMgAg4, optimized geometry; values from VASP
! Space group: F-43m
! Energy of formation (meV/atom): -204
&SYSTEM
  ibrav = 0, nat = 6, ntyp = 3
/
ATOMIC_SPECIES
Y 88.91 Y.upf
Mg 24.30 Mg.upf
Ag 107.87 Ag.upf
CELL_PARAMETERS angstrom
0.000 3.958 3.958
3.958 0.000 3.958
3.958 3.958 0.000
ATOMIC_POSITIONS angstrom
Y 0.000 0.000 0.000
Mg 1.979 1.979 1.979
Ag 4.943 2.972 2.972
Ag 2.972 4.943 2.972
Ag 2.972 2.972 4.943
Ag 4.943 4.943 4.943

# 6
! GGA-PBE Al2ZnAg2, optimized geometry; values from VASP
! Space group: P4/mbm
! Energy of formation (meV/atom): 141
&SYSTEM
  ibrav = 0, nat = 10, ntyp = 3
/
ATOMIC_SPECIES
Al 26.98 Al.upf
Zn 65.41 Zn.upf
Ag 107.87 Ag.upf
CELL_PARAMETERS angstrom
6.964 0.000 0.000
0.000 6.964 0.000
0.000 0.000 3.700
ATOMIC_POSITIONS angstrom
Al 1.078 2.404 0.000
Al 2.404 5.886 0.000
Al 4.560 1.078 0.000
Al 5.886 4.560 0.000
Zn 0.000 0.000 1.850
Zn 3.482 3.482 1.850
Ag 1.022 4.504 1.850
Ag 2.460 1.022 1.850
Ag 4.504 5.942 1.850
Ag 5.942 2.460 1.850

# 7
! GGA-PBE LaErMgAg, optimized geometry; values from VASP
! Space group: P4mm
! Energy of formation (meV/atom): -182
&SYSTEM
  ibrav = 0, nat = 4, ntyp = 4
/
ATOMIC_SPECIES
La 138.91 La.upf
Er 167.26 Er.upf
Mg 24.30 Mg.upf
Ag 107.87 Ag.upf
CELL_PARAMETERS angstrom
3.785 0.000 0.000
0.000 3.785 0.000
0.000 0.000 7.556
ATOMIC_POSITIONS angstrom
La 0.000 0.000 0.000
Er 0.000 0.000 3.625
Mg 1.892 1.892 5.461
Ag 1.892 1.892 2.076

# 8
! GGA-PBE PmCd2GaAu4, optimized geometry; values from VASP
! Space group: R-3m
! Energy of formation (meV/atom): -380
&SYSTEM
  ibrav = 0, nat = 8, ntyp = 4
/
ATOMIC_SPECIES
Pm 145.00 Pm.upf
Cd 112.41 Cd.upf
Ga 69.72 Ga.upf
Au 196.97 Au.upf
CELL_PARAMETERS angstrom
2.354 1.359 8.687
-2.354 1.359 8.687
0.000 -2.718 8.687
ATOMIC_POSITIONS angstrom
Pm 0.000 0.000 0.000
Cd 0.000 0.000 6.453
Cd 0.000 0.000 19.607
Ga 0.000 0.000 13.030
Au 0.000 0.000 3.407
Au 0.000 0.000 10.200
Au 0.000 0.000 15.860
Au 0.000 0.000 22.653